No. 1
# Mo2Pb

Mo2Pb after structural relaxation (GGA-PBE, Alexandria via LeMat-Bulk).

Summary:
The symmetry is I4/mcm. For the formation enthalpy at 0 K, the calculation gives 0.900 eV per atom. The calculation puts the total energy at -45.340 eV/cell. The value obtained for the spin magnetization is 0.00 μB per atom. The polymorph energy (0 for the lowest one) comes out at 395 meV/atom. The value obtained for the density of states at the Fermi level is 2.484 states/eV/f.u.

POSCAR file:
```
Mo2Pb
1.0
3.3915 1.7173 -3.8414
2.2275 -3.4339 3.5291
-4.0214 -2.6304 -2.4734
Mo Pb
4 2
Direct
0.8773 0.3773 0.2547 Mo
0.1227 0.6227 0.7453 Mo
0.3773 0.1227 0.5000 Mo
0.6227 0.8773 0.5000 Mo
0.2500 0.2500 0.0000 Pb
0.7500 0.7500 0.0000 Pb
```

---

No. 2
# MoPb3

MoPb3 after structural relaxation (GGA-PBE, Alexandria via LeMat-Bulk).

Summary:
The symmetry is R-3m. For the formation enthalpy at 0 K, the calculation gives 0.780 eV per atom. The calculation puts the total energy at -18.838 eV/cell. The value obtained for the spin magnetization is 0.63 μB per atom. The polymorph energy (0 for the lowest one) comes out at 321 meV/atom. The value obtained for the density of states at the Fermi level is 3.187 states/eV/f.u.

POSCAR file:
```
MoPb3
1.0
-2.4829 4.8667 2.7366
-2.4099 -5.4459 1.3684
6.0324 0.1699 -0.9590
Mo Pb
1 3
Direct
0.0000 0.0000 0.0000 Mo
0.0000 0.5000 0.5000 Pb
0.5000 0.0000 0.5000 Pb
0.5000 0.5000 0.0000 Pb
```

---

Copy entry 2 word for word.
# MoPb3

MoPb3 after structural relaxation (GGA-PBE, Alexandria via LeMat-Bulk).

Summary:
The symmetry is R-3m. For the formation enthalpy at 0 K, the calculation gives 0.780 eV per atom. The calculation puts the total energy at -18.838 eV/cell. The value obtained for the spin magnetization is 0.63 μB per atom. The polymorph energy (0 for the lowest one) comes out at 321 meV/atom. The value obtained for the density of states at the Fermi level is 3.187 states/eV/f.u.

POSCAR file:
```
MoPb3
1.0
-2.4829 4.8667 2.7366
-2.4099 -5.4459 1.3684
6.0324 0.1699 -0.9590
Mo Pb
1 3
Direct
0.0000 0.0000 0.0000 Mo
0.0000 0.5000 0.5000 Pb
0.5000 0.0000 0.5000 Pb
0.5000 0.5000 0.0000 Pb
```

---

Q: Which value of density of states at the Fermi level does entry 1 give?
A: 2.484 states/eV/f.u.